KLiVO4: relaxed, PBE+U.

CIF file:
```
data_KLiVO4
_space_group_name_H-M_alt 'I -4'
_space_group_IT_number 82
_cell_length_a 5.631
_cell_length_b 5.631
_cell_length_c 8.516
_cell_angle_alpha 90.00
_cell_angle_beta 90.00
_cell_angle_gamma 90.00
loop_
_space_group_symop_operation_xyz
'x,y,z'
'y,-x,-z'
'-x,-y,z'
'-y,x,-z'
'x+1/2,y+1/2,z+1/2'
'y+1/2,-x+1/2,-z+1/2'
'-x+1/2,-y+1/2,z+1/2'
'-y+1/2,x+1/2,-z+1/2'
loop_
_atom_site_label
_atom_site_fract_x
_atom_site_fract_y
_atom_site_fract_z
K1 0.000 0.000 0.000
Li1 0.000 0.000 0.500
V1 0.000 0.500 0.750
O1 0.104 0.273 0.630
```

K2LiVO4: relaxed, PBE+U.

CIF file:
```
data_K2LiVO4
_space_group_name_H-M_alt 'F d d d'
_space_group_IT_number 70
_cell_length_a 4.868
_cell_length_b 11.582
_cell_length_c 19.724
_cell_angle_alpha 90.00
_cell_angle_beta 90.00
_cell_angle_gamma 90.00
loop_
_space_group_symop_operation_xyz
'x,y,z'
'-x,-y,-z'
'-x+1/4,-y+1/4,z'
'x+1/4,y+1/4,-z'
'x,-y+1/4,-z+1/4'
'-x,y+1/4,z+1/4'
'-x+1/4,y,-z+1/4'
'x+1/4,-y,z+1/4'
'x,y+1/2,z+1/2'
'-x,-y+1/2,-z+1/2'
'-x+1/4,-y+3/4,z+1/2'
'x+1/4,y+3/4,-z+1/2'
'x,-y+3/4,-z+3/4'
'-x,y+3/4,z+3/4'
'-x+1/4,y+1/2,-z+3/4'
'x+1/4,-y+1/2,z+3/4'
'x+1/2,y,z+1/2'
'-x+1/2,-y,-z+1/2'
'-x+3/4,-y+1/4,z+1/2'
'x+3/4,y+1/4,-z+1/2'
'x+1/2,-y+1/4,-z+3/4'
'-x+1/2,y+1/4,z+3/4'
'-x+3/4,y,-z+3/4'
'x+3/4,-y,z+3/4'
'x+1/2,y+1/2,z'
'-x+1/2,-y+1/2,-z'
'-x+3/4,-y+3/4,z'
'x+3/4,y+3/4,-z'
'x+1/2,-y+3/4,-z+1/4'
'-x+1/2,y+3/4,z+1/4'
'-x+3/4,y+1/2,-z+1/4'
'x+3/4,-y+1/2,z+1/4'
loop_
_atom_site_label
_atom_site_fract_x
_atom_site_fract_y
_atom_site_fract_z
K1 0.125 0.125 0.298
Li1 0.125 0.125 0.125
V1 0.125 0.125 0.625
O1 0.098 0.289 0.827
```

KLiWO4: relaxed, PBE+U.

CIF file:
```
data_KLiWO4
_space_group_name_H-M_alt 'P 1 21/c 1'
_space_group_IT_number 14
_cell_length_a 9.616
_cell_length_b 9.196
_cell_length_c 19.330
_cell_angle_alpha 90.00
_cell_angle_beta 119.70
_cell_angle_gamma 90.00
loop_
_space_group_symop_operation_xyz
'x,y,z'
'-x,-y,-z'
'-x,y+1/2,-z+1/2'
'x,-y+1/2,z+1/2'
loop_
_atom_site_label
_atom_site_fract_x
_atom_site_fract_y
_atom_site_fract_z
K1 0.006 0.014 0.249
K2 0.323 0.536 0.587
K3 0.342 0.541 0.074
Li1 0.024 0.663 0.089
Li2 0.322 0.665 0.421
Li3 0.341 0.161 0.260
W1 0.025 0.219 0.594
W2 0.305 0.216 0.917
W3 0.339 0.729 0.764
O1 0.083 0.750 0.013
O2 0.110 0.037 0.613
O3 0.115 0.729 0.869
O4 0.126 0.747 0.198
O5 0.185 0.149 0.145
O6 0.211 0.155 0.453
O7 0.233 0.245 0.812
O8 0.255 0.033 0.932
O9 0.372 0.542 0.799
O10 0.411 0.649 0.349
O11 0.444 0.739 0.209
O12 0.478 0.740 0.528
```

K3LiW2O8: relaxed, PBE+U.

CIF file:
```
data_K3LiW2O8
_space_group_name_H-M_alt 'P -3 m 1'
_space_group_IT_number 164
_space_group_name_Hall '-P 3 2"'
_cell_length_a 6.0221
_cell_length_b 6.0221
_cell_length_c 7.6851
_cell_angle_alpha 90.00
_cell_angle_beta 90.00
_cell_angle_gamma 120.00
loop_
_atom_site_label
_atom_site_fract_x
_atom_site_fract_y
_atom_site_fract_z
K1 0.0000 0.0000 0.0000
K2 0.3333 0.6667 0.6575
Li1 0.0000 0.0000 0.5000
W1 0.3333 0.6667 0.2252
O1 0.1710 0.3420 0.3129
O2 0.3333 0.6667 0.9897
```

Short version: theoretical density = 2.0; 2.4; 3.9; 4.3 g cm⁻³, in the order given.
Short version: uncorrected energy = -84.55; -374.85; -537.23; -87.71 eV for the cell shown, in the order given.